# Pm2Zn4Ge3Au | Alexandria via LeMat-Bulk | PBE | relaxed
# * formation energy: -0.46 eV/atom
# * magnetization: 0.00 μB/atom
data_Pm2Zn4Ge3Au
_chemical_formula_sum 'Pm2 Zn4 Ge3 Au1'
_cell_length_a 4.2297
_cell_length_b 4.2297
_cell_length_c 10.8315
_cell_angle_alpha 90.00
_cell_angle_beta 90.00
_cell_angle_gamma 90.00
_space_group_name_H-M_alt 'P -4 m 2'
_space_group_IT_number 115
loop_
_space_group_symop_operation_xyz
'x,y,z'
'y,-x,-z'
'-x,-y,z'
'-y,x,-z'
'-x,y,z'
'-y,-x,-z'
'x,-y,z'
'y,x,-z'
loop_
_atom_site_label
_atom_site_type_symbol
_atom_site_fract_x
_atom_site_fract_y
_atom_site_fract_z
_atom_site_occupancy
Pm1 Pm 0.0000 0.5000 0.2502 1
Zn1 Zn 0.0000 0.0000 0.0000 1
Zn2 Zn 0.0000 0.5000 0.6367 1
Zn3 Zn 0.5000 0.5000 0.0000 1
Ge1 Ge 0.0000 0.5000 0.8608 1
Ge2 Ge 0.5000 0.5000 0.5000 1
Au1 Au 0.0000 0.0000 0.5000 1

# Pm2ZnGe4Au3 | Alexandria via LeMat-Bulk | PBE | relaxed
# * formation energy: -0.52 eV/atom
# * magnetization: 0.00 μB/atom
data_Pm2ZnGe4Au3
_chemical_formula_sum 'Pm2 Zn1 Ge4 Au3'
_cell_length_a 4.2914
_cell_length_b 4.2914
_cell_length_c 11.1736
_cell_angle_alpha 90.00
_cell_angle_beta 90.00
_cell_angle_gamma 90.00
_space_group_name_H-M_alt 'P -4 m 2'
_space_group_IT_number 115
loop_
_space_group_symop_operation_xyz
'x,y,z'
'y,-x,-z'
'-x,-y,z'
'-y,x,-z'
'-x,y,z'
'-y,-x,-z'
'x,-y,z'
'y,x,-z'
loop_
_atom_site_label
_atom_site_type_symbol
_atom_site_fract_x
_atom_site_fract_y
_atom_site_fract_z
_atom_site_occupancy
Pm1 Pm 0.0000 0.5000 0.2383 1
Zn1 Zn 0.5000 0.5000 0.0000 1
Ge1 Ge 0.0000 0.0000 0.5000 1
Ge2 Ge 0.0000 0.5000 0.8658 1
Ge3 Ge 0.5000 0.5000 0.5000 1
Au1 Au 0.0000 0.0000 0.0000 1
Au2 Au 0.0000 0.5000 0.6423 1

# PmZrGeAu | Alexandria via LeMat-Bulk | PBE | relaxed
# * formation energy: -0.53 eV/atom
# * magnetization: 0.00 μB/atom
data_PmZrGeAu
_chemical_formula_sum 'Pm4 Zr4 Ge4 Au4'
_cell_length_a 7.0840
_cell_length_b 7.0840
_cell_length_c 7.0840
_cell_angle_alpha 90.00
_cell_angle_beta 90.00
_cell_angle_gamma 90.00
_space_group_name_H-M_alt 'F -4 3 m'
_space_group_IT_number 216
_space_group_name_Hall 'F -4 2 3'
loop_
_atom_site_label
_atom_site_type_symbol
_atom_site_fract_x
_atom_site_fract_y
_atom_site_fract_z
_atom_site_occupancy
Pm1 Pm 0.0000 0.0000 0.0000 1
Zr1 Zr 0.0000 0.0000 0.5000 1
Ge1 Ge 0.2500 0.2500 0.7500 1
Au1 Au 0.2500 0.2500 0.2500 1

# PrGe3Au2 | Alexandria via LeMat-Bulk | PBE | relaxed
# * formation energy: -0.41 eV/atom
# * magnetization: 0.00 μB/atom
data_PrGe3Au2
_chemical_formula_sum 'Pr4 Ge12 Au8'
_cell_length_a 4.4161
_cell_length_b 4.4161
_cell_length_c 26.3342
_cell_angle_alpha 90.00
_cell_angle_beta 90.00
_cell_angle_gamma 90.00
_space_group_name_H-M_alt 'I 4/m m m'
_space_group_IT_number 139
_space_group_name_Hall '-I 4 2'
loop_
_atom_site_label
_atom_site_type_symbol
_atom_site_fract_x
_atom_site_fract_y
_atom_site_fract_z
_atom_site_occupancy
Pr1 Pr 0.0000 0.0000 0.1501 1
Ge1 Ge 0.0000 0.0000 0.3048 1
Ge2 Ge 0.0000 0.5000 0.0478 1
Au1 Au 0.0000 0.0000 0.4000 1
Au2 Au 0.0000 0.5000 0.2500 1

# PrGeAu | Alexandria via LeMat-Bulk | PBE | relaxed
# * formation energy: -0.56 eV/atom
# * magnetization: 0.00 μB/atom
data_PrGeAu
_chemical_formula_sum 'Pr4 Ge4 Au4'
_cell_length_a 8.0610
_cell_length_b 8.0610
_cell_length_c 4.4129
_cell_angle_alpha 90.00
_cell_angle_beta 90.00
_cell_angle_gamma 90.00
_space_group_name_H-M_alt 'P 42/m'
_space_group_IT_number 84
loop_
_space_group_symop_operation_xyz
'x,y,z'
'-x,-y,-z'
'-y,x,z+1/2'
'y,-x,-z+1/2'
'-x,-y,z'
'x,y,-z'
'y,-x,z+1/2'
'-y,x,-z+1/2'
loop_
_atom_site_label
_atom_site_type_symbol
_atom_site_fract_x
_atom_site_fract_y
_atom_site_fract_z
_atom_site_occupancy
Pr1 Pr 0.0741 0.7218 0.0000 1
Ge1 Ge 0.1493 0.4333 0.5000 1
Au1 Au 0.3296 0.3721 0.0000 1

# PrGe2Au6 | Alexandria via LeMat-Bulk | PBE | relaxed
# * formation energy: -0.16 eV/atom
# * magnetization: 0.00 μB/atom
# * energy above the most stable polymorph in this dataset: 0.1356 eV per atom
data_PrGe2Au6
_chemical_formula_sum 'Pr1 Ge2 Au6'
_cell_length_a 5.6568
_cell_length_b 5.6568
_cell_length_c 7.5828
_cell_angle_alpha 90.00
_cell_angle_beta 90.00
_cell_angle_gamma 120.00
_space_group_name_H-M_alt 'P 6/m m m'
_space_group_IT_number 191
_space_group_name_Hall '-P 6 2'
loop_
_atom_site_label
_atom_site_type_symbol
_atom_site_fract_x
_atom_site_fract_y
_atom_site_fract_z
_atom_site_occupancy
Pr1 Pr 0.0000 0.0000 0.0000 1
Ge1 Ge 0.3333 0.6667 0.5000 1
Au1 Au 0.0000 0.5000 0.2017 1

# Pr4Ge2Au5 | Alexandria via LeMat-Bulk | PBE | relaxed
# * formation energy: -0.72 eV/atom
# * magnetization: 0.00 μB/atom
data_Pr4Ge2Au5
_chemical_formula_sum 'Pr4 Ge2 Au5'
_cell_length_a 7.4428
_cell_length_b 4.1909
_cell_length_c 8.6353
_cell_angle_alpha 90.00
_cell_angle_beta 91.18
_cell_angle_gamma 90.00
_space_group_name_H-M_alt 'P 1 2/m 1'
_space_group_IT_number 10
loop_
_space_group_symop_operation_xyz
'x,y,z'
'-x,-y,-z'
'-x,y,-z'
'x,-y,z'
loop_
_atom_site_label
_atom_site_type_symbol
_atom_site_fract_x
_atom_site_fract_y
_atom_site_fract_z
_atom_site_occupancy
Pr1 Pr 0.2158 0.0000 0.3655 1
Pr2 Pr 0.2509 0.0000 0.9027 1
Ge1 Ge 0.0697 0.5000 0.1335 1
Au1 Au 0.1472 0.5000 0.6267 1
Au2 Au 0.4385 0.5000 0.1564 1
Au3 Au 0.5000 0.5000 0.5000 1

# PrGeAu4 | Alexandria via LeMat-Bulk | PBE | relaxed
# * formation energy: -0.34 eV/atom
# * magnetization: 0.00 μB/atom
# * energy above the most stable polymorph in this dataset: 0.0261 eV per atom
data_PrGeAu4
_chemical_formula_sum 'Pr4 Ge4 Au16'
_cell_length_a 7.9843
_cell_length_b 7.9843
_cell_length_c 7.9843
_cell_angle_alpha 90.00
_cell_angle_beta 90.00
_cell_angle_gamma 90.00
_space_group_name_H-M_alt 'F -4 3 m'
_space_group_IT_number 216
_space_group_name_Hall 'F -4 2 3'
loop_
_atom_site_label
_atom_site_type_symbol
_atom_site_fract_x
_atom_site_fract_y
_atom_site_fract_z
_atom_site_occupancy
Pr1 Pr 0.0000 0.0000 0.0000 1
Ge1 Ge 0.2500 0.2500 0.7500 1
Au1 Au 0.1247 0.1247 0.3753 1

# PrGe2Au4 | Alexandria via LeMat-Bulk | PBE | relaxed
# * formation energy: -0.37 eV/atom
# * magnetization: 0.00 μB/atom
# * energy above the most stable polymorph in this dataset: 0.0348 eV per atom
data_PrGe2Au4
_chemical_formula_sum 'Pr2 Ge4 Au8'
_cell_length_a 8.1569
_cell_length_b 8.1569
_cell_length_c 4.2690
_cell_angle_alpha 90.00
_cell_angle_beta 90.00
_cell_angle_gamma 90.00
_space_group_name_H-M_alt 'P 42/m n m'
_space_group_IT_number 136
_space_group_name_Hall '-P 4n 2n'
loop_
_atom_site_label
_atom_site_type_symbol
_atom_site_fract_x
_atom_site_fract_y
_atom_site_fract_z
_atom_site_occupancy
Pr1 Pr 0.0000 0.0000 0.0000 1
Ge1 Ge 0.2240 0.2240 0.5000 1
Au1 Au 0.0745 0.6742 0.5000 1

# Pr5Ge2Au2 | Alexandria via LeMat-Bulk | PBE | relaxed
# * formation energy: -0.72 eV/atom
# * magnetization: 0.00 μB/atom
data_Pr5Ge2Au2
_chemical_formula_sum 'Pr20 Ge8 Au8'
_cell_length_a 15.8365
_cell_length_b 8.0010
_cell_length_c 7.9573
_cell_angle_alpha 90.00
_cell_angle_beta 90.00
_cell_angle_gamma 90.00
_space_group_name_H-M_alt 'C m c e'
_space_group_IT_number 64
_space_group_name_Hall '-C 2ac 2'
loop_
_atom_site_label
_atom_site_type_symbol
_atom_site_fract_x
_atom_site_fract_y
_atom_site_fract_z
_atom_site_occupancy
Pr1 Pr 0.0000 0.0000 0.0000 1
Pr2 Pr 0.1356 0.1766 0.3315 1
Ge1 Ge 0.0000 0.1239 0.6248 1
Au1 Au 0.2058 0.0000 0.0000 1

# Pr2Ge5Au3 | Alexandria via LeMat-Bulk | PBE | relaxed
# * formation energy: -0.46 eV/atom
# * magnetization: 0.00 μB/atom
data_Pr2Ge5Au3
_chemical_formula_sum 'Pr8 Ge20 Au12'
_cell_length_a 10.3595
_cell_length_b 12.8045
_cell_length_c 6.4878
_cell_angle_alpha 90.00
_cell_angle_beta 90.00
_cell_angle_gamma 90.00
_space_group_name_H-M_alt 'I b a m'
_space_group_IT_number 72
_space_group_name_Hall '-I 2 2c'
loop_
_atom_site_label
_atom_site_type_symbol
_atom_site_fract_x
_atom_site_fract_y
_atom_site_fract_z
_atom_site_occupancy
Pr1 Pr 0.2427 0.1192 0.0000 1
Ge1 Ge 0.0000 0.0000 0.2500 1
Ge2 Ge 0.0000 0.2596 0.2500 1
Ge3 Ge 0.1354 0.3799 0.0000 1
Au1 Au 0.0000 0.5000 0.2500 1
Au2 Au 0.1243 0.1331 0.5000 1

# PrGeAu | Alexandria via LeMat-Bulk | PBE | relaxed
# * formation energy: -0.80 eV/atom
# * magnetization: 0.00 μB/atom
data_PrGeAu
_chemical_formula_sum 'Pr1 Ge1 Au1'
_cell_length_a 4.4776
_cell_length_b 4.4776
_cell_length_c 4.0676
_cell_angle_alpha 90.00
_cell_angle_beta 90.00
_cell_angle_gamma 120.00
_space_group_name_H-M_alt 'P 3 m 1'
_space_group_IT_number 156
loop_
_space_group_symop_operation_xyz
'x,y,z'
'-y,x-y,z'
'-x+y,-x,z'
'-y,-x,z'
'-x+y,y,z'
'x,x-y,z'
loop_
_atom_site_label
_atom_site_type_symbol
_atom_site_fract_x
_atom_site_fract_y
_atom_site_fract_z
_atom_site_occupancy
Pr1 Pr 0.0000 0.0000 0.0000 1
Ge1 Ge 0.6667 0.3333 0.4694 1
Au1 Au 0.3333 0.6667 0.5196 1

# PrGe2Au7 | Alexandria via LeMat-Bulk | PBE | relaxed
# * formation energy: -0.18 eV/atom
# * magnetization: 0.00 μB/atom
data_PrGe2Au7
_chemical_formula_sum 'Pr2 Ge4 Au14'
_cell_length_a 6.9354
_cell_length_b 15.6964
_cell_length_c 4.1274
_cell_angle_alpha 90.00
_cell_angle_beta 90.00
_cell_angle_gamma 90.00
_space_group_name_H-M_alt 'C m m m'
_space_group_IT_number 65
_space_group_name_Hall '-C 2 2'
loop_
_atom_site_label
_atom_site_type_symbol
_atom_site_fract_x
_atom_site_fract_y
_atom_site_fract_z
_atom_site_occupancy
Pr1 Pr 0.0000 0.0000 0.0000 1
Ge1 Ge 0.0000 0.2667 0.5000 1
Au1 Au 0.0000 0.3683 0.0000 1
Au2 Au 0.0000 0.5000 0.5000 1
Au3 Au 0.1996 0.1228 0.5000 1

# Pr3Ge2Au4 | Alexandria via LeMat-Bulk | PBE | relaxed
# * formation energy: -0.79 eV/atom
# * magnetization: 0.00 μB/atom
data_Pr3Ge2Au4
_chemical_formula_sum 'Pr6 Ge4 Au8'
_cell_length_a 11.1741
_cell_length_b 4.5599
_cell_length_c 8.9471
_cell_angle_alpha 90.00
_cell_angle_beta 110.72
_cell_angle_gamma 90.00
_space_group_name_H-M_alt 'C 1 2/m 1'
_space_group_IT_number 12
loop_
_space_group_symop_operation_xyz
'x,y,z'
'-x,-y,-z'
'-x,y,-z'
'x,-y,z'
'x+1/2,y+1/2,z'
'-x+1/2,-y+1/2,-z'
'-x+1/2,y+1/2,-z'
'x+1/2,-y+1/2,z'
loop_
_atom_site_label
_atom_site_type_symbol
_atom_site_fract_x
_atom_site_fract_y
_atom_site_fract_z
_atom_site_occupancy
Pr1 Pr 0.0000 0.0000 0.0000 1
Pr2 Pr 0.1642 0.5000 0.6666 1
Ge1 Ge 0.1079 0.5000 0.2785 1
Au1 Au 0.0606 0.0000 0.3876 1
Au2 Au 0.2143 0.5000 0.0613 1

# PrGeAu | Alexandria via LeMat-Bulk | PBE | relaxed
# * formation energy: -0.42 eV/atom
# * magnetization: 0.00 μB/atom
data_PrGeAu
_chemical_formula_sum 'Pr2 Ge2 Au2'
_cell_length_a 4.1247
_cell_length_b 4.1247
_cell_length_c 8.7312
_cell_angle_alpha 90.00
_cell_angle_beta 90.00
_cell_angle_gamma 90.00
_space_group_name_H-M_alt 'I 4 m m'
_space_group_IT_number 107
_space_group_name_Hall 'I 4 -2'
loop_
_atom_site_label
_atom_site_type_symbol
_atom_site_fract_x
_atom_site_fract_y
_atom_site_fract_z
_atom_site_occupancy
Pr1 Pr 0.0000 0.0000 0.0000 1
Ge1 Ge 0.0000 0.0000 0.3440 1
Au1 Au 0.0000 0.0000 0.6538 1

# Pr2Ge3Au6 | Alexandria via LeMat-Bulk | PBE | relaxed
# * formation energy: -0.49 eV/atom
# * magnetization: 0.00 μB/atom
data_Pr2Ge3Au6
_chemical_formula_sum 'Pr2 Ge3 Au6'
_cell_length_a 7.8479
_cell_length_b 7.8479
_cell_length_c 4.4531
_cell_angle_alpha 90.00
_cell_angle_beta 90.00
_cell_angle_gamma 120.00
_space_group_name_H-M_alt 'P -6 2 m'
_space_group_IT_number 189
_space_group_name_Hall 'P -6 -2'
loop_
_atom_site_label
_atom_site_type_symbol
_atom_site_fract_x
_atom_site_fract_y
_atom_site_fract_z
_atom_site_occupancy
Pr1 Pr 0.3333 0.6667 0.0000 1
Ge1 Ge 0.0000 0.6402 0.5000 1
Au1 Au 0.0000 0.3188 0.5000 1
Au2 Au 0.0000 0.7918 0.0000 1

# Pr2GeAu | Alexandria via LeMat-Bulk | PBE | relaxed
# * formation energy: -0.70 eV/atom
# * magnetization: 0.00 μB/atom
data_Pr2GeAu
_chemical_formula_sum 'Pr2 Ge1 Au1'
_cell_length_a 3.6850
_cell_length_b 3.6850
_cell_length_c 7.6326
_cell_angle_alpha 90.00
_cell_angle_beta 90.00
_cell_angle_gamma 90.00
_space_group_name_H-M_alt 'P 4/m m m'
_space_group_IT_number 123
_space_group_name_Hall '-P 4 2'
loop_
_atom_site_label
_atom_site_type_symbol
_atom_site_fract_x
_atom_site_fract_y
_atom_site_fract_z
_atom_site_occupancy
Pr1 Pr 0.0000 0.0000 0.2471 1
Ge1 Ge 0.5000 0.5000 0.0000 1
Au1 Au 0.5000 0.5000 0.5000 1

# Pr2Ge2Au3 | Alexandria via LeMat-Bulk | PBE | relaxed
# * formation energy: -0.66 eV/atom
# * magnetization: 0.00 μB/atom
data_Pr2Ge2Au3
_chemical_formula_sum 'Pr4 Ge4 Au6'
_cell_length_a 10.7440
_cell_length_b 4.2752
_cell_length_c 7.3413
_cell_angle_alpha 90.00
_cell_angle_beta 113.19
_cell_angle_gamma 90.00
_space_group_name_H-M_alt 'C 1 2/m 1'
_space_group_IT_number 12
loop_
_space_group_symop_operation_xyz
'x,y,z'
'-x,-y,-z'
'-x,y,-z'
'x,-y,z'
'x+1/2,y+1/2,z'
'-x+1/2,-y+1/2,-z'
'-x+1/2,y+1/2,-z'
'x+1/2,-y+1/2,z'
loop_
_atom_site_label
_atom_site_type_symbol
_atom_site_fract_x
_atom_site_fract_y
_atom_site_fract_z
_atom_site_occupancy
Pr1 Pr 0.1422 0.0000 0.2671 1
Ge1 Ge 0.1451 0.0000 0.7046 1
Au1 Au 0.0000 0.5000 0.5000 1
Au2 Au 0.1118 0.5000 0.9356 1

# Pr2Ge7Au12 | Alexandria via LeMat-Bulk | PBE | relaxed
# * formation energy: -0.24 eV/atom
# * magnetization: 0.00 μB/atom
data_Pr2Ge7Au12
_chemical_formula_sum 'Pr2 Ge7 Au12'
_cell_length_a 10.2142
_cell_length_b 10.2142
_cell_length_c 4.7094
_cell_angle_alpha 90.00
_cell_angle_beta 90.00
_cell_angle_gamma 120.00
_space_group_name_H-M_alt 'P -3'
_space_group_IT_number 147
loop_
_space_group_symop_operation_xyz
'x,y,z'
'-x,-y,-z'
'-y,x-y,z'
'y,-x+y,-z'
'-x+y,-x,z'
'x-y,x,-z'
loop_
_atom_site_label
_atom_site_type_symbol
_atom_site_fract_x
_atom_site_fract_y
_atom_site_fract_z
_atom_site_occupancy
Pr1 Pr 0.3333 0.6667 0.2283 1
Ge1 Ge 0.0000 0.0000 0.5000 1
Ge2 Ge 0.1127 0.3886 0.6716 1
Au1 Au 0.0670 0.6080 0.7713 1
Au2 Au 0.1267 0.8611 0.1795 1

# Pr3Ge4Au | Alexandria via LeMat-Bulk | PBE | relaxed
# * formation energy: -0.65 eV/atom
# * magnetization: 0.00 μB/atom
data_Pr3Ge4Au
_chemical_formula_sum 'Pr6 Ge8 Au2'
_cell_length_a 4.4995
_cell_length_b 6.0335
_cell_length_c 15.3055
_cell_angle_alpha 90.00
_cell_angle_beta 90.00
_cell_angle_gamma 90.00
_space_group_name_H-M_alt 'I m m m'
_space_group_IT_number 71
_space_group_name_Hall '-I 2 2'
loop_
_atom_site_label
_atom_site_type_symbol
_atom_site_fract_x
_atom_site_fract_y
_atom_site_fract_z
_atom_site_occupancy
Pr1 Pr 0.0000 0.0000 0.0000 1
Pr2 Pr 0.0000 0.5000 0.1910 1
Ge1 Ge 0.0000 0.2914 0.3767 1
Au1 Au 0.0000 0.0000 0.5000 1